VASP calculation (PBE with a Hubbard U) on Sr3TiV2O9 after structural relaxation.

```
data_Sr3TiV2O9
_space_group_name_H-M_alt 'P -3 m 1'
_space_group_IT_number 164
_space_group_name_Hall '-P 3 2"'
_cell_length_a 5.5712
_cell_length_b 5.5712
_cell_length_c 6.7387
_cell_angle_alpha 90.00
_cell_angle_beta 90.00
_cell_angle_gamma 120.00
loop_
_atom_site_label
_atom_site_fract_x
_atom_site_fract_y
_atom_site_fract_z
Sr1 0.0000 0.0000 0.0000
Sr2 0.3333 0.6667 0.6683
Ti1 0.0000 0.0000 0.5000
V1 0.3333 0.6667 0.1661
O1 0.0000 0.5000 0.0000
O2 0.1668 0.3335 0.3312
```

## Properties
final energy	-7.53	eV per atom

VASP calculation (PBE with a Hubbard U) on SrTi2V2O7 after structural relaxation.

```
data_SrTi2V2O7
_space_group_name_H-M_alt 'I m m 2'
_space_group_IT_number 44
_cell_length_a 4.1087
_cell_length_b 16.3651
_cell_length_c 4.1994
_cell_angle_alpha 90.00
_cell_angle_beta 90.00
_cell_angle_gamma 90.00
loop_
_space_group_symop_operation_xyz
'x,y,z'
'-x,-y,z'
'-x,y,z'
'x,-y,z'
'x+1/2,y+1/2,z+1/2'
'-x+1/2,-y+1/2,z+1/2'
'-x+1/2,y+1/2,z+1/2'
'x+1/2,-y+1/2,z+1/2'
loop_
_atom_site_label
_atom_site_fract_x
_atom_site_fract_y
_atom_site_fract_z
Sr1 0.0000 0.0000 0.0000
Ti1 0.0000 0.2523 0.5271
V1 0.0000 0.3839 0.0264
O1 0.0000 0.1296 0.5327
O2 0.0000 0.2561 0.0287
O3 0.0000 0.3705 0.5302
O4 0.0000 0.5000 0.0794
```

## Properties
final energy	-8.10	eV per atom

VASP calculation (PBE with a Hubbard U) on Sr4Ti3VO12 after structural relaxation.

```
data_Sr4Ti3VO12
_space_group_name_H-M_alt 'I m -3 m'
_space_group_IT_number 229
_space_group_name_Hall '-I 4 2 3'
_cell_length_a 7.8655
_cell_length_b 7.8655
_cell_length_c 7.8655
_cell_angle_alpha 90.00
_cell_angle_beta 90.00
_cell_angle_gamma 90.00
loop_
_atom_site_label
_atom_site_fract_x
_atom_site_fract_y
_atom_site_fract_z
Sr1 0.2500 0.2500 0.2500
Ti1 0.0000 0.0000 0.5000
V1 0.0000 0.0000 0.0000
O1 0.0000 0.0000 0.2479
O2 0.0000 0.2500 0.5000
```

## Properties
final energy	-7.82	eV per atom

VASP calculation (PBE with a Hubbard U) on Sr2TiVO6 after structural relaxation.

```
data_Sr2TiVO6
_space_group_name_H-M_alt 'R -3 m'
_space_group_IT_number 166
_space_group_name_Hall '-R 3 2"'
_cell_length_a 5.5709
_cell_length_b 5.5709
_cell_length_c 13.5131
_cell_angle_alpha 90.00
_cell_angle_beta 90.00
_cell_angle_gamma 120.00
loop_
_atom_site_label
_atom_site_fract_x
_atom_site_fract_y
_atom_site_fract_z
Sr1 0.0000 0.0000 0.2502
Ti1 0.0000 0.0000 0.0000
V1 0.0000 0.0000 0.5000
O1 0.0002 0.5001 0.2492
```

## Properties
final energy	-7.66	eV per atom